! Rb3BaLa2S6, optimized geometry, DFT PBE; values from VASP
&SYSTEM
  ibrav = 0, nat = 12, ntyp = 4
/
ATOMIC_SPECIES
Rb 85.47 Rb.upf
Ba 137.33 Ba.upf
La 138.91 La.upf
S 32.06 S.upf
CELL_PARAMETERS angstrom
3.844 -6.658 0.000
3.844 6.658 0.000
-2.576 0.000 7.694
ATOMIC_POSITIONS crystal
Rb 0.000 0.000 0.000
Rb 0.337 0.663 0.000
Rb 0.663 0.337 0.000
Ba 0.500 0.500 0.500
La 0.167 0.833 0.500
La 0.833 0.167 0.500
S 0.074 0.432 0.298
S 0.210 0.210 0.702
S 0.432 0.074 0.298
S 0.568 0.926 0.702
S 0.790 0.790 0.298
S 0.926 0.568 0.702
! Formation energy from raw total energies, eV per atom: -1.67